No. 1
# Ta2AlCo

A PBEsol-optimized structure of Ta2AlCo (SCAN, Alexandria).

a = 2.8390 Å, b = 2.8390 Å, c = 26.5120 Å
α = 90.00°, β = 90.00°, γ = 120.00°
Space group R-3m (No. 166, hexagonal axes)
Symmetry-distinct sites (fractional):
Ta 0.0000 0.0000 0.2441 [6 per cell]
Al 0.0000 0.0000 0.0000 [3 per cell]
Co 0.0000 0.0000 0.5000 [3 per cell]



No. 2
# TaAlCo2

A PBEsol-optimized structure of TaAlCo2 (SCAN, Alexandria).

a = 2.779 Å, b = 2.779 Å, c = 6.455 Å
α = 90.00°, β = 90.00°, γ = 90.00°
Space group P4/mmm (No. 123)
Symmetry-distinct sites (fractional):
Ta 0.000 0.000 0.000 [1 per cell]
Al 0.000 0.000 0.500 [1 per cell]
Co 0.500 0.500 0.272 [2 per cell]



No. 3
# TaAl2Co

A PBEsol-optimized structure of TaAl2Co (SCAN, Alexandria).

a = 3.810 Å, b = 3.810 Å, c = 7.788 Å
α = 90.00°, β = 90.00°, γ = 90.00°
Space group I-4m2 (No. 119)
Symmetry-distinct sites (fractional):
Ta 0.000 0.000 0.000 [2 per cell]
Al 0.000 0.000 0.500 [2 per cell]
Al 0.000 0.500 0.250 [2 per cell]
Co 0.000 0.500 0.750 [2 per cell]



No. 4
# TaAlCo2

A PBEsol-optimized structure of TaAlCo2 (SCAN, Alexandria).

a = 4.212 Å, b = 4.212 Å, c = 2.857 Å
α = 90.00°, β = 90.00°, γ = 90.00°
Space group P4/mmm (No. 123)
Symmetry-distinct sites (fractional):
Ta 0.000 0.000 0.000 [1 per cell]
Al 0.500 0.500 0.000 [1 per cell]
Co 0.000 0.500 0.500 [2 per cell]



No. 5
# Ta2AlCo

A PBEsol-optimized structure of Ta2AlCo (SCAN, Alexandria).

a = 2.8381 Å, b = 2.8381 Å, c = 26.4425 Å
α = 90.00°, β = 90.00°, γ = 120.00°
Space group R3m (No. 160, hexagonal axes)
Symmetry-distinct sites (fractional):
Ta 0.0000 0.0000 0.0000 [3 per cell]
Ta 0.0000 0.0000 0.2377 [3 per cell]
Al 0.0000 0.0000 0.7570 [3 per cell]
Co 0.0000 0.0000 0.4949 [3 per cell]



No. 6
# Tb2Al3Co

A PBEsol-optimized structure of Tb2Al3Co (SCAN, Alexandria).

a = 5.4227 Å, b = 5.4227 Å, c = 12.8641 Å
α = 90.00°, β = 90.00°, γ = 120.00°
Space group R-3m (No. 166, hexagonal axes)
Symmetry-distinct sites (fractional):
Tb 0.0000 0.0000 0.1258 [6 per cell]
Al 0.0000 0.5000 0.0000 [9 per cell]
Co 0.0000 0.0000 0.5000 [3 per cell]



No. 7
# TbAlCo4

A PBEsol-optimized structure of TbAlCo4 (SCAN, Alexandria).

a = 4.831 Å, b = 8.580 Å, c = 3.952 Å
α = 90.00°, β = 90.00°, γ = 90.00°
Space group Cmmm (No. 65)
Symmetry-distinct sites (fractional):
Tb 0.000 0.000 0.000 [2 per cell]
Al 0.000 0.500 0.500 [2 per cell]
Co 0.000 0.313 0.000 [4 per cell]
Co 0.250 0.250 0.500 [4 per cell]



No. 8
# AlCo2Tc

A PBEsol-optimized structure of AlCo2Tc (SCAN, Alexandria).

a = 3.541 Å, b = 3.541 Å, c = 16.429 Å
α = 90.00°, β = 90.00°, γ = 90.00°
Space group I-42d (No. 122)
Symmetry-distinct sites (fractional):
Al 0.000 0.000 0.000 [4 per cell]
Co 0.243 0.250 0.125 [8 per cell]
Tc 0.000 0.000 0.500 [4 per cell]



| no. | ΔH_f (0 K) (eV per atom) | calculated density (g/cm3) |
| --- | --- | --- |
| 1 | 0.121 | 12.06 |
| 2 | -0.355 | 10.86 |
| 3 | -0.157 | 8.63 |
| 4 | -0.414 | 10.68 |
| 5 | 0.091 | 12.09 |
| 6 | -0.482 | 6.96 |
| 7 | -0.229 | 8.55 |
| 8 | 0.396 | 7.83 |